## A
Computed, not measured: crystalline NiPRuCl2 at its relaxed geometry at the GGA-PBE level of DFT.

Structure (POSCAR):
```
NiPRuCl2
1.0
4.903 0.000 0.000
0.000 4.903 0.000
0.000 0.000 4.437
Cl Ni Ru P
2 1 1 1
Direct
0.500 0.000 0.000 Cl
0.000 0.500 0.000 Cl
0.500 0.500 0.500 Ni
0.000 0.000 0.000 Ru
0.000 0.000 0.500 P
```

Summary:
symmetry = P4/mmm (123)
magnetic moment = 1.131 μB/f.u.



## B
Computed, not measured: crystalline NiPRuCl2 at its relaxed geometry at the GGA-PBE level of DFT.

Structure (POSCAR):
```
NiPRuCl2
1.0
-0.581 2.036 -3.953
0.442 -3.941 -2.095
-4.579 -0.684 0.321
Cl P Ni Ru
2 1 1 1
Direct
0.500 0.000 0.000 Cl
0.000 0.500 0.000 Cl
0.000 0.000 0.500 P
0.000 0.000 0.000 Ni
0.500 0.500 0.500 Ru
```

Summary:
symmetry = P4/mmm (123)
magnetic moment = 3.263 μB/f.u.



Tell me which of them is the most stable. Sure, it is A.



## A
Computed, not measured: crystalline NiP2RuCl at its relaxed geometry at the GGA-PBE level of DFT.

Structure (POSCAR):
```
NiP2RuCl
1.0
-2.420 -3.056 -1.906
3.355 -2.747 0.144
-1.377 -1.467 4.102
Ru P Ni Cl
1 2 1 1
Direct
0.500 0.500 0.500 Ru
0.000 0.500 0.000 P
0.500 0.000 0.000 P
0.000 0.000 0.000 Ni
0.000 0.000 0.500 Cl
```

Summary:
symmetry = P4/mmm (123)
magnetic moment = 1.759 μB/f.u.



## B
Computed, not measured: crystalline NiP2RuCl at its relaxed geometry at the GGA-PBE level of DFT.

Structure (POSCAR):
```
NiP2RuCl
1.0
-2.930 -1.305 -3.122
3.246 -2.251 -2.105
-1.073 -4.087 2.716
Cl P Ru Ni
1 2 1 1
Direct
0.000 0.000 0.500 Cl
0.500 0.000 0.000 P
0.000 0.500 0.000 P
0.000 0.000 0.000 Ru
0.500 0.500 0.500 Ni
```

Summary:
symmetry = P4/mmm (123)
magnetic moment = 0.797 μB/f.u.



Tell me which of them is the most stable. Sure, it is B.



## A
Computed, not measured: crystalline NiP2SCl at its relaxed geometry at the GGA-PBE level of DFT.

Structure (POSCAR):
```
NiP2SCl
1.0
4.512 0.000 0.000
0.000 4.512 0.000
0.000 0.000 4.399
P Cl S Ni
2 1 1 1
Direct
0.500 0.000 0.000 P
0.000 0.500 0.000 P
0.500 0.500 0.500 Cl
0.000 0.000 0.500 S
0.000 0.000 0.000 Ni
```

Summary:
symmetry = P4/mmm (123)
magnetic moment = 0.001 μB/f.u.



## B
Computed, not measured: crystalline NiP2SCl at its relaxed geometry at the GGA-PBE level of DFT.

Structure (POSCAR):
```
NiP2SCl
1.0
4.481 0.000 0.000
0.000 4.481 0.000
0.000 0.000 4.396
Cl P S Ni
1 2 1 1
Direct
0.000 0.000 0.500 Cl
0.000 0.500 0.000 P
0.500 0.000 0.000 P
0.500 0.500 0.500 S
0.000 0.000 0.000 Ni
```

Summary:
symmetry = P4/mmm (123)
magnetic moment = 0.000 μB/f.u.



Tell me which of them is the most stable. Sure, it is B.



## A
Computed, not measured: crystalline NiP2SCl at its relaxed geometry at the GGA-PBE level of DFT.

Structure (POSCAR):
```
NiP2SCl
1.0
-0.645 3.325 2.967
-3.252 1.698 -2.611
-3.203 -2.645 2.268
P Ni Cl S
2 1 1 1
Direct
0.000 0.500 0.000 P
0.500 0.000 0.000 P
0.500 0.500 0.500 Ni
0.000 0.000 0.000 Cl
0.000 0.000 0.500 S
```

Summary:
symmetry = P4/mmm (123)
magnetic moment = 1.101 μB/f.u.



## B
Computed, not measured: crystalline NiP2SCl at its relaxed geometry at the GGA-PBE level of DFT.

Structure (POSCAR):
```
NiP2SCl
1.0
-4.256 -1.446 0.653
1.449 -2.779 3.288
-0.637 3.236 3.015
Cl P S Ni
1 2 1 1
Direct
0.000 0.000 0.500 Cl
0.000 0.500 0.000 P
0.500 0.000 0.000 P
0.000 0.000 0.000 S
0.500 0.500 0.500 Ni
```

Summary:
symmetry = P4/mmm (123)
magnetic moment = 0.378 μB/f.u.



Tell me which of them is the most stable. Sure, it is B.



## A
Computed, not measured: crystalline NiSbPCl2 at its relaxed geometry at the GGA-PBE level of DFT.

Structure (POSCAR):
```
NiSbPCl2
1.0
4.483 0.000 0.000
0.000 4.483 0.000
0.000 0.000 4.833
Sb Cl Ni P
1 2 1 1
Direct
0.500 0.500 0.500 Sb
0.000 0.500 0.000 Cl
0.500 0.000 0.000 Cl
0.000 0.000 0.000 Ni
0.000 0.000 0.500 P
```

Summary:
symmetry = P4/mmm (123)
magnetic moment = 0.000 μB/f.u.



## B
Computed, not measured: crystalline NiSbPCl2 at its relaxed geometry at the GGA-PBE level of DFT.

Structure (POSCAR):
```
NiSbPCl2
1.0
-0.746 4.480 2.407
-4.477 0.575 -2.459
-2.514 -2.556 3.978
Ni Cl P Sb
1 2 1 1
Direct
0.500 0.500 0.500 Ni
0.000 0.500 0.000 Cl
0.500 0.000 0.000 Cl
0.000 0.000 0.500 P
0.000 0.000 0.000 Sb
```

Summary:
symmetry = P4/mmm (123)
magnetic moment = 1.650 μB/f.u.



Tell me which of them is the most stable. Sure, it is A.



## A
Computed, not measured: crystalline ScNiPCl2 at its relaxed geometry at the GGA-PBE level of DFT.

Structure (POSCAR):
```
ScNiPCl2
1.0
4.786 0.000 0.000
0.000 4.786 0.000
0.000 0.000 5.381
Sc Cl Ni P
1 2 1 1
Direct
0.000 0.000 0.000 Sc
0.000 0.500 0.000 Cl
0.500 0.000 0.000 Cl
0.500 0.500 0.500 Ni
0.000 0.000 0.500 P
```

Summary:
symmetry = P4/mmm (123)
magnetic moment = 1.448 μB/f.u.



## B
Computed, not measured: crystalline ScNiPCl2 at its relaxed geometry at the GGA-PBE level of DFT.

Structure (POSCAR):
```
ScNiPCl2
1.0
4.409 0.000 0.000
0.000 4.409 0.000
0.000 0.000 4.849
Sc P Cl Ni
1 1 2 1
Direct
0.500 0.500 0.500 Sc
0.000 0.000 0.500 P
0.500 0.000 0.000 Cl
0.000 0.500 0.000 Cl
0.000 0.000 0.000 Ni
```

Summary:
symmetry = P4/mmm (123)
magnetic moment = 0.000 μB/f.u.



Tell me which of them is the most stable. Sure, it is B.